First-principles (PBE+U) data for a relaxed structure of ZnCoAg2F6, as listed in Alexandria.

Results
The crystal system is monoclinic. As for the total DFT energy (no corrections): -80.988 eV per cell.

a = 5.7045 Å, b = 5.7017 Å, c = 9.8791 Å
α = 90.00°, β = 125.19°, γ = 90.00°
Closest atoms and distances in Å follow each position.
Element x y z (fractional)
1 Zn 0.0000 0.0000 0.0000  6 F 2.07
2 Zn 0.0000 0.5000 0.5000  6 F 2.07
3 Co 0.5000 0.0000 0.5000  6 F 2.05-2.07
4 Co 0.5000 0.5000 0.0000  6 F 2.05-2.07
5 Ag 0.2572 0.0318 0.7508  4 F 2.47-2.61
6 Ag 0.2572 0.4682 0.2508  4 F 2.47-2.61
7 Ag 0.7428 0.5318 0.7492  4 F 2.47-2.61
8 Ag 0.7428 0.9682 0.2492  4 F 2.47-2.61
9 F 0.1779 0.0171 0.2515  1 Co 2.05, 1 Zn 2.07
10 F 0.1779 0.4829 0.7515  1 Co 2.05, 1 Zn 2.07
11 F 0.2473 0.7077 0.0389  1 Co 2.07, 1 Zn 2.07
12 F 0.2473 0.7923 0.5389  1 Co 2.07, 1 Zn 2.07
13 F 0.3275 0.2098 0.0357  1 Co 2.06, 1 Zn 2.07
14 F 0.3275 0.2902 0.5357  1 Co 2.06, 1 Zn 2.07
15 F 0.6725 0.7098 0.4643  1 Co 2.06, 1 Zn 2.07
16 F 0.6725 0.7902 0.9643  1 Co 2.06, 1 Zn 2.07
17 F 0.7527 0.2077 0.4611  1 Co 2.07, 1 Zn 2.07
18 F 0.7527 0.2923 0.9611  1 Co 2.07, 1 Zn 2.07
19 F 0.8221 0.5171 0.2485  1 Co 2.05, 1 Zn 2.07
20 F 0.8221 0.9829 0.7485  1 Co 2.05, 1 Zn 2.07